Computed, not measured: an optimized crystal structure of La2TlIr at the GGA-PBE level of DFT.

It has space group Fm-3m (No. 225), with a = 7.564 Å, b = 7.564 Å, c = 7.564 Å, α = 90.00°, β = 90.00° and γ = 90.00°. The asymmetric unit holds La at (0.250, 0.250, 0.250), Tl at (0.000, 0.000, 0.000) and Ir at (0.000, 0.000, 0.500).

For the volume, the calculation gives 27.05 Å³ per atom. For the formation energy, the calculation gives -382 meV/atom. The value obtained for the uncorrected energy is -5.653 eV/atom.

=====

Computed, not measured: an optimized crystal structure of La3TlIr at the GGA-PBE level of DFT.

It has space group R-3 (No. 148, hexagonal axes), with a = 8.4169 Å, b = 8.4169 Å, c = 14.9651 Å, α = 90.00°, β = 90.00° and γ = 120.00°. The asymmetric unit holds La at (0.0280, 0.3915, 0.4211), Tl at (0.0000, 0.0000, 0.3985) and Ir at (0.0000, 0.0000, 0.0908).

For the volume, the calculation gives 30.60 Å³ per atom. For the formation energy, the calculation gives -362 meV/atom. The value obtained for the uncorrected energy is -5.564 eV/atom.

=====

Computed, not measured: an optimized crystal structure of La3TlIr at the GGA-PBE level of DFT.

It has space group P2_1/c (No. 14), with a = 8.042 Å, b = 6.055 Å, c = 13.419 Å, α = 90.00°, β = 110.17° and γ = 90.00°. The asymmetric unit holds La at (0.018, 0.212, 0.337), La at (0.310, 0.646, 0.505), La at (0.453, 0.556, 0.814), Tl at (0.130, 0.234, 0.109) and Ir at (0.336, 0.032, 0.816).

For the volume, the calculation gives 30.67 Å³ per atom. For the formation energy, the calculation gives -475 meV/atom. The value obtained for the uncorrected energy is -5.677 eV/atom.

=====

Computed, not measured: an optimized crystal structure of La2TlIr at the GGA-PBE level of DFT.

It has space group Imm2 (No. 44), with a = 3.671 Å, b = 4.739 Å, c = 13.142 Å, α = 90.00°, β = 90.00° and γ = 90.00°. The asymmetric unit holds La at (0.000, 0.000, 0.000), La at (0.000, 0.500, 0.201), Tl at (0.000, 0.500, 0.821) and Ir at (0.000, 0.000, 0.517).

For the volume, the calculation gives 28.58 Å³ per atom. For the formation energy, the calculation gives -427 meV/atom. The value obtained for the uncorrected energy is -5.697 eV/atom.

=====

Computed, not measured: an optimized crystal structure of La3TlIr at the GGA-PBE level of DFT.

It has space group P-1 (No. 2), with a = 5.976 Å, b = 5.976 Å, c = 8.809 Å, α = 90.06°, β = 90.06° and γ = 99.27°. The asymmetric unit holds La at (0.215, 0.286, 0.000), La at (0.263, 0.764, 0.311), La at (0.264, 0.765, 0.690), Tl at (0.240, 0.261, 0.500) and Ir at (0.306, 0.806, 0.001).

For the volume, the calculation gives 31.05 Å³ per atom. For the formation energy, the calculation gives -540 meV/atom. The value obtained for the uncorrected energy is -5.742 eV/atom.

=====

Computed, not measured: an optimized crystal structure of La3TlIr at the GGA-PBE level of DFT.

It has space group P-1 (No. 2), with a = 5.964 Å, b = 6.998 Å, c = 8.938 Å, α = 69.15°, β = 76.72° and γ = 64.88°. The asymmetric unit holds La at (0.053, 0.157, 0.115), La at (0.370, 0.183, 0.667), La at (0.379, 0.474, 0.220), Tl at (0.098, 0.743, 0.525) and Ir at (0.420, 0.841, 0.964).

For the volume, the calculation gives 31.43 Å³ per atom. For the formation energy, the calculation gives -532 meV/atom. The value obtained for the uncorrected energy is -5.734 eV/atom.

=====

Computed, not measured: an optimized crystal structure of La3TlIr at the GGA-PBE level of DFT.

It has space group Pnma (No. 62), with a = 7.967 Å, b = 11.041 Å, c = 7.617 Å, α = 90.00°, β = 90.00° and γ = 90.00°. The asymmetric unit holds La at (0.016, 0.250, 0.102), La at (0.193, 0.049, 0.690), Tl at (0.078, 0.750, 0.475) and Ir at (0.000, 0.000, 0.000).

For the volume, the calculation gives 33.50 Å³ per atom. For the formation energy, the calculation gives -526 meV/atom. The value obtained for the uncorrected energy is -5.728 eV/atom.

=====

Computed, not measured: an optimized crystal structure of La3TlIr at the GGA-PBE level of DFT.

It has space group P-1 (No. 2), with a = 6.444 Å, b = 6.493 Å, c = 7.992 Å, α = 88.76°, β = 88.87° and γ = 66.21°. The asymmetric unit holds La at (0.046, 0.048, 0.282), La at (0.251, 0.246, 0.886), La at (0.451, 0.453, 0.258), Tl at (0.000, 0.500, 0.500), Tl at (0.500, 0.000, 0.500) and Ir at (0.231, 0.777, 0.001).

For the volume, the calculation gives 30.59 Å³ per atom. For the formation energy, the calculation gives -495 meV/atom. The value obtained for the uncorrected energy is -5.697 eV/atom.

=====

Computed, not measured: an optimized crystal structure of La3TlIr at the GGA-PBE level of DFT.

It has space group P6_3/mmc (No. 194), with a = 5.4317 Å, b = 5.4317 Å, c = 11.4949 Å, α = 90.00°, β = 90.00° and γ = 120.00°. The asymmetric unit holds La at (0.0000, 0.0000, 0.2500), La at (0.3333, 0.6667, 0.0660), Tl at (0.3333, 0.6667, 0.7500) and Ir at (0.0000, 0.0000, 0.0000).

For the volume, the calculation gives 29.37 Å³ per atom. For the formation energy, the calculation gives -462 meV/atom. The value obtained for the uncorrected energy is -5.664 eV/atom.

=====

Computed, not measured: an optimized crystal structure of La3TlIr at the GGA-PBE level of DFT.

It has space group Cmmm (No. 65), with a = 8.367 Å, b = 8.477 Å, c = 8.998 Å, α = 90.00°, β = 90.00° and γ = 90.00°. The asymmetric unit holds La at (0.000, 0.247, 0.000), La at (0.248, 0.500, 0.308), Tl at (0.000, 0.248, 0.500) and Ir at (0.247, 0.500, 0.000).

For the volume, the calculation gives 31.91 Å³ per atom. For the formation energy, the calculation gives -522 meV/atom. The value obtained for the uncorrected energy is -5.724 eV/atom.

=====

Computed, not measured: an optimized crystal structure of La3TlIr at the GGA-PBE level of DFT.

It has space group C2/c (No. 15), with a = 12.852 Å, b = 14.873 Å, c = 6.998 Å, α = 90.00°, β = 97.96° and γ = 90.00°. The asymmetric unit holds La at (0.090, 0.135, 0.041), La at (0.127, 0.425, 0.117), La at (0.132, 0.300, 0.609), Tl at (0.165, 0.074, 0.519), Ir at (0.000, 0.273, 0.250) and Ir at (0.000, 0.431, 0.750).

For the volume, the calculation gives 33.12 Å³ per atom. For the formation energy, the calculation gives -472 meV/atom. The value obtained for the uncorrected energy is -5.674 eV/atom.

=====

The highest uncorrected energy belongs to which entry? number 2